! CrNi2Br, optimized geometry, DFT PBE-GGA; values from VASP
&SYSTEM
  ibrav = 0, nat = 4, ntyp = 3
/
ATOMIC_SPECIES
Cr 52.00 Cr.upf
Ni 58.69 Ni.upf
Br 79.90 Br.upf
CELL_PARAMETERS angstrom
3.181 0.000 0.000
0.000 3.112 0.000
-0.017 0.000 6.388
ATOMIC_POSITIONS crystal
Cr 0.000 0.000 0.000
Ni 0.499 0.500 0.812
Ni 0.501 0.500 0.188
Br 0.500 0.000 0.500
! Offset from the most stable computed form, eV per formula unit: 0.000
! V, Å³/atom: 15.81
! Formation energy without anion corrections, eV/f.u.: 1.36
! Total moment, μB/atom: 0.738